# BeHgSb2 (PBE, relaxed)
data_BeHgSb2
_chemical_formula_sum 'Be1 Hg1 Sb2'
_cell_length_a 3.877
_cell_length_b 3.877
_cell_length_c 7.546
_cell_angle_alpha 75.87
_cell_angle_beta 75.87
_cell_angle_gamma 59.60
_symmetry_space_group_name_H-M 'P 1'
_symmetry_Int_Tables_number 1
_symmetry_space_group_name_Hall 'P 1'
loop_
_atom_site_label
_atom_site_fract_x
_atom_site_fract_y
_atom_site_fract_z
_atom_site_occupancy
Sb1 0.472 0.472 0.571 1
Sb2 0.028 0.028 0.929 1
Hg1 0.250 0.250 0.250 1
Be1 0.750 0.750 0.750 1
# raw formation energy: 0.215 eV per atom
# E: -2.85 eV per atom
# excess energy over the best structure of this formula in the dataset: 28 meV per atom
# space group: C2/m (12)